Entry 1:
Compound: Fe2CoSe4
Source: the Open Quantum Materials Database
Functional: GGA-PBE
Structure: relaxed

- Symmetry: P4_122

a b c (Å): 7.060 7.060 9.939
angles (deg): 90.00 90.00 90.00
Element x y z (fractional)
Fe  0.000  0.238  0.000
Fe  0.000  0.762  0.500
Fe  0.238  0.000  0.750
Fe  0.257  0.257  0.375
Fe  0.257  0.743  0.125
Fe  0.743  0.257  0.625
Fe  0.743  0.743  0.875
Fe  0.762  0.000  0.250
Co  0.244  0.500  0.750
Co  0.500  0.244  0.000
Co  0.500  0.756  0.500
Co  0.756  0.500  0.250
Se  0.013  0.253  0.758
Se  0.013  0.747  0.742
Se  0.250  0.473  0.990
Se  0.250  0.527  0.510
Se  0.253  0.013  0.992
Se  0.253  0.987  0.508
Se  0.473  0.250  0.760
Se  0.473  0.750  0.740
Se  0.527  0.250  0.240
Se  0.527  0.750  0.260
Se  0.747  0.013  0.008
Se  0.747  0.987  0.492
Se  0.750  0.473  0.010
Se  0.750  0.527  0.490
Se  0.987  0.253  0.242
Se  0.987  0.747  0.258

***

Entry 2:
Compound: LuAsNO
Source: the Open Quantum Materials Database
Functional: GGA-PBE
Structure: relaxed

- Polymorph energy (0 for the lowest one): 0.000 eV per formula unit
- Symmetry: Pmc2_1

a b c (Å): 3.823 5.934 5.921
angles (deg): 90.00 90.00 90.00
Element x y z (fractional)
Lu  0.000  0.200  0.000
Lu  0.000  0.800  0.500
As  0.500  0.333  0.606
As  0.500  0.667  0.106
N  0.500  0.401  0.932
N  0.500  0.599  0.432
O  0.000  0.090  0.320
O  0.000  0.910  0.820

***

no.,VASP energy (eV per atom)
1,-5.579
2,-6.901